# 1
Crystalline FePtPb2 at its relaxed geometry. Source: Alexandria, functional PBE-GGA.

Values from the calculation:
Its space-group type is No. 166. The value obtained for the calculated formation energy is 0.412 eV/atom. The size of the total moment comes out at 0.74 μB per atom.

abc: 8.7438 8.7438 8.7438
angles: 22.29 22.29 22.29
Closest atoms and distances in Å follow each position.
Sites, in units of the cell vectors:
Fe: 0.0000 0.0000 0.0000  6 Pb 2.89
Pt: 0.5000 0.5000 0.5000  6 Pb 2.89
Pb: 0.2499 0.2499 0.2499  3 Pt 2.89, 3 Fe 2.89
Pb: 0.7501 0.7501 0.7501  3 Pt 2.89, 3 Fe 2.89



# 2
Crystalline FePtPb at its relaxed geometry. Source: Alexandria, functional PBE-GGA.

Values from the calculation:
Its space-group type is No. 38. The value obtained for the calculated formation energy is 0.271 eV/atom. The size of the total moment comes out at 0.99 μB per atom. The energy relative to the lowest polymorph listed for this composition comes out at 127 meV per atom.

abc: 9.0053 4.2152 4.2152
angles: 50.37 90.00 90.00
Closest atoms and distances in Å follow each position.
Sites, in units of the cell vectors:
Fe: 0.1271 0.0000 0.0000  1 Fe 2.29
Fe: 0.8729 0.0000 0.0000  1 Fe 2.29
Pt: 0.0000 0.6931 0.6931  6 Fe 2.59-2.61, 2 Pb 2.87
Pt: 0.5000 0.0083 0.0083  6 Pb 2.84-2.85
Pb: 0.3181 0.7038 0.7038  3 Fe 2.84-2.93, 4 Pt 2.84-2.87
Pb: 0.6819 0.7038 0.7038  3 Fe 2.84-2.93, 4 Pt 2.84-2.87



# 3
Crystalline Fe2PtPb at its relaxed geometry. Source: Alexandria, functional PBE-GGA.

Values from the calculation:
Its space-group type is No. 123. The value obtained for the calculated formation energy is 0.322 eV/atom. The size of the total moment comes out at 1.59 μB per atom.

abc: 2.9636 2.9636 7.7138
angles: 90.00 90.00 90.00
Closest atoms and distances in Å follow each position.
Sites, in units of the cell vectors:
Fe: 0.0000 0.0000 0.2169  4 Pt 2.68, 4 Fe 2.96
Fe: 0.0000 0.0000 0.7831  4 Pt 2.68, 4 Fe 2.96
Pt: 0.5000 0.5000 0.0000  8 Fe 2.68, 4 Pt 2.96
Pb: 0.5000 0.5000 0.5000  4 Pb 2.96, 8 Fe 3.03



# 4
Crystalline Fe2PtPb at its relaxed geometry. Source: Alexandria, functional PBE-GGA.

Values from the calculation:
Its space-group type is No. 123. The value obtained for the calculated formation energy is 0.233 eV/atom. The size of the total moment comes out at 1.32 μB per atom.

abc: 3.9661 3.9661 4.0764
angles: 90.00 90.00 90.00
Closest atoms and distances in Å follow each position.
Sites, in units of the cell vectors:
Fe: 0.0000 0.5000 0.0000  4 Fe 2.80, 4 Pb 2.84, 4 Pt 2.84
Fe: 0.5000 0.0000 0.0000  4 Fe 2.80, 4 Pb 2.84, 4 Pt 2.84
Pt: 0.0000 0.0000 0.5000  4 Pb 2.80, 8 Fe 2.84
Pb: 0.5000 0.5000 0.5000  4 Pt 2.80, 8 Fe 2.84



# 5
Crystalline FePtPb at its relaxed geometry. Source: Alexandria, functional PBE-GGA.

Values from the calculation:
Its space-group type is No. 107. The value obtained for the calculated formation energy is 0.189 eV/atom. The size of the total moment comes out at 1.14 μB per atom. The energy relative to the lowest polymorph listed for this composition comes out at 45 meV per atom.

abc: 5.9880 5.9880 5.9880
angles: 148.70 148.70 44.86
Closest atoms and distances in Å follow each position.
Sites, in units of the cell vectors:
Fe: 0.0000 0.0000 0.0000  4 Pt 2.58
Pt: 0.3926 0.3926 0.0000  4 Fe 2.58
Pb: 0.6959 0.6959 0.0000  5 Fe 3.15-3.37, 5 Pt 3.16-3.36, 4 Pb 3.23



# 6
Crystalline Fe2PtPb at its relaxed geometry. Source: Alexandria, functional PBE-GGA.

Values from the calculation:
Its space-group type is No. 47. The value obtained for the calculated formation energy is 0.247 eV/atom. The size of the total moment comes out at 1.54 μB per atom.

abc: 2.9439 3.8341 6.0472
angles: 90.00 90.00 90.00
Closest atoms and distances in Å follow each position.
Sites, in units of the cell vectors:
Fe: 0.0000 0.0000 0.1982  1 Fe 2.40
Fe: 0.0000 0.0000 0.8018  1 Fe 2.40
Pt: 0.5000 0.5000 0.0000  8 Fe 2.70, 2 Pt 2.94
Pb: 0.5000 0.5000 0.5000  2 Pb 2.94, 2 Pt 3.02, 8 Fe 3.03



# 7
Crystalline FePt3Pb at its relaxed geometry. Source: Alexandria, functional PBE-GGA.

Values from the calculation:
Its space-group type is No. 221. The value obtained for the calculated formation energy is 0.554 eV/atom. The size of the total moment comes out at 0.79 μB per atom. The energy relative to the lowest polymorph listed for this composition comes out at 0 meV per atom.

abc: 4.7048 4.7048 4.7048
angles: 90.00 90.00 90.00
Closest atoms and distances in Å follow each position.
Sites, in units of the cell vectors:
Fe: 0.0000 0.0000 0.0000  6 Pt 2.35
Pt: 0.0000 0.0000 0.5000  2 Fe 2.35
Pt: 0.0000 0.5000 0.0000  2 Fe 2.35
Pt: 0.5000 0.0000 0.0000  2 Fe 2.35
Pb: 0.5000 0.5000 0.5000  12 Pt 3.33



# 8
Crystalline FePtPb at its relaxed geometry. Source: Alexandria, functional PBE-GGA.

Values from the calculation:
Its space-group type is No. 156. The value obtained for the calculated formation energy is 0.256 eV/atom. The size of the total moment comes out at 1.06 μB per atom. The energy relative to the lowest polymorph listed for this composition comes out at 111 meV per atom.

abc: 4.2604 4.2604 3.7944
angles: 90.00 90.00 120.00
Closest atoms and distances in Å follow each position.
Sites, in units of the cell vectors:
Fe: 0.0000 0.0000 0.0000  3 Pt 2.50
Pt: 0.3333 0.6667 0.8799  3 Fe 2.50
Pb: 0.6667 0.3333 0.4409  6 Pt 2.97-3.25, 6 Fe 2.97-3.25



Respective VASP energy values: -20.27, -34.80, -25.39, -25.74, -17.64, -25.68, -27.52, -17.44 eV/cell.